A) {
  "formula": "Ni8Ge2As",
  "functional": "GGA-PBE",
  "state": "optimized geometry",
  "cell": [[-0.0855, -2.6116, 2.6411], [6.0068, -1.9883, -1.7715], [-0.7707, 5.7836, 3.0808]],
  "species": ["Ni", "Ni", "Ni", "Ni", "Ni", "Ni", "Ni", "Ni", "As", "Ge", "Ge"],
  "fractional_positions": [[0.1474, 0.1474, 0.2949], [0.6621, 0.4306, 0.3242], [0.6621, 0.8936, 0.3242], [0.0000, 0.3001, 0.0000], [0.3379, 0.1064, 0.6758], [0.0000, 0.6999, 0.0000], [0.3379, 0.5694, 0.6758], [0.8526, 0.8526, 0.7051], [0.5000, 0.0000, 0.0000], [0.1824, 0.6824, 0.3648], [0.8176, 0.3176, 0.6352]],
  "crystal_system": "orthorhombic",
  "n_ef_per_ev_fu": 6.160
}

=====

B) {
  "formula": "Ni8Ge2As",
  "functional": "GGA-PBE",
  "state": "optimized geometry",
  "cell": [[-3.8176, 0.3176, -0.3877], [-0.2028, -5.1540, -2.2247], [1.2325, -0.3739, 6.6760]],
  "species": ["Ni", "Ni", "Ni", "Ni", "Ni", "Ni", "Ni", "Ni", "As", "Ge", "Ge"],
  "fractional_positions": [[0.0243, 0.7672, 0.0486], [0.8181, 0.7490, 0.6363], [0.6670, 0.9308, 0.3340], [0.3330, 0.0692, 0.6660], [0.1819, 0.2510, 0.3637], [0.9757, 0.2328, 0.9514], [0.5965, 0.4459, 0.1930], [0.4035, 0.5541, 0.8070], [0.5000, 0.0000, 0.0000], [0.8124, 0.3253, 0.6248], [0.1876, 0.6747, 0.3752]],
  "crystal_system": "monoclinic",
  "n_ef_per_ev_fu": 7.695
}

=====

Q: Which of them is the most stable? A: B).

=====

A) {
  "formula": "Ni4GeAs2",
  "functional": "GGA-PBE",
  "state": "optimized geometry",
  "cell": [[-3.1146, 2.3341, -1.9071], [-2.9907, -2.0516, 2.3734], [-2.5259, 4.3811, 4.5619]],
  "species": ["Ge", "Ni", "Ni", "Ni", "Ni", "As", "As"],
  "fractional_positions": [[0.0000, 0.0000, 0.0000], [0.0000, 0.5000, 0.0000], [0.5000, 0.0000, 0.0000], [0.8122, 0.8122, 0.3756], [0.1878, 0.1878, 0.6244], [0.3736, 0.3736, 0.2528], [0.6264, 0.6264, 0.7472]],
  "crystal_system": "tetragonal",
  "n_ef_per_ev_fu": 4.188
}

=====

B) {
  "formula": "Ni4GeAs2",
  "functional": "GGA-PBE",
  "state": "optimized geometry",
  "cell": [[-0.1280, 0.0089, -2.9052], [-1.9535, -5.3792, 1.5249], [-11.0055, 4.1378, 0.4975]],
  "species": ["Ni", "Ni", "Ni", "Ni", "Ni", "Ni", "Ni", "Ni", "Ge", "Ge", "As", "As", "As", "As"],
  "fractional_positions": [[0.5000, 0.0000, 0.5000], [0.5000, 0.0000, 0.0000], [0.9990, 0.9980, 0.7500], [0.1916, 0.3832, 0.9112], [0.1916, 0.3832, 0.5888], [0.8084, 0.6168, 0.0888], [0.0010, 0.0020, 0.2500], [0.8084, 0.6168, 0.4112], [0.3420, 0.6840, 0.2500], [0.6580, 0.3160, 0.7500], [0.1338, 0.2676, 0.1050], [0.8662, 0.7324, 0.8950], [0.1338, 0.2676, 0.3950], [0.8662, 0.7324, 0.6050]],
  "crystal_system": "orthorhombic",
  "n_ef_per_ev_fu": 4.290
}

=====

Q: Which of them is the most stable? A: B).